A plane-wave DFT calculation with PBE was carried out for crystalline Tl2CdInPb2 at its relaxed geometry.

Values from the calculation:
ΔH_f (0 K)   0.026 eV per atom
Theoretical density   9.9 g/cm3

Lattice parameters (Å, degrees): 4.611 7.149 10.686 90.00 90.00 90.00
Element x y z (fractional)
Tl: 0.500 0.128 0.003
Pb: 0.000 0.869 0.190
Cd: 0.500 0.632 0.343
Tl: 0.500 0.628 0.997
Pb: 0.500 0.139 0.345
Tl: 0.000 0.386 0.171
Pb: 0.500 0.639 0.655
In: 0.000 0.891 0.504
Tl: 0.000 0.886 0.829
Cd: 0.500 0.132 0.657
Pb: 0.000 0.369 0.810
In: 0.000 0.391 0.496